The following is a DFT calculation (PBE-GGA) of a relaxed MgAgBr crystal.

Cell: 3.656 3.656 6.222 Å, 90.00 90.00 120.00°
Atoms (fractional coordinates):
Ag1 0.000 0.000 0.956
Mg1 0.667 0.333 0.660
Br1 0.333 0.667 0.384

Properties
The size of the total moment is 0.00 μB per formula unit. Its polymorph energy (0 for the lowest one) is 0 meV per atom. As for the space group: P3m1 (156). The uncorrected formation energy comes out at -47 kJ per mole of atoms.